The following is a DFT calculation (GGA-PBE) of a relaxed structure of Pr5YIn4.

Values from the calculation:
SG ... Pmmn (59)
Calculated volume ... 34.49 Å³/atom
E above lowest polymorph ... 23.77 kJ/mol of atoms
Calculated density ... 6.03 Mg/m³
Uncorrected energy ... -42.6 eV/f.u.

a = 8.8355 Å, b = 8.4558 Å, c = 9.2332 Å
α = 90.00°, β = 90.00°, γ = 90.00°
With the nearest neighbours (Å) after each atom.
Element x y z (fractional)
1 Pr 0.2661 0.7550 0.8060  4 In 3.26-3.35, 2 Pr 3.57-3.58
2 Pr 0.2661 0.2450 0.8060  4 In 3.26-3.35, 2 Pr 3.57-3.58
3 Pr 0.6566 0.5000 0.0000  4 In 2.99-3.31
4 Pr 0.2661 0.7550 0.1940  4 In 3.26-3.35, 2 Pr 3.57-3.58
5 Pr 0.2661 0.2450 0.1940  4 In 3.26-3.35, 2 Pr 3.57-3.58
6 Pr 0.7339 0.7450 0.3060  4 In 3.26-3.35, 2 Pr 3.57-3.58
7 Pr 0.7339 0.2550 0.3060  4 In 3.26-3.35, 2 Pr 3.57-3.58
8 Pr 0.3434 0.0000 0.5000  4 In 2.99-3.31
9 Pr 0.7339 0.2550 0.6940  4 In 3.26-3.35, 2 Pr 3.57-3.58
10 Pr 0.7339 0.7450 0.6940  4 In 3.26-3.35, 2 Pr 3.57-3.58
11 Y 0.9159 0.0000 0.0000  4 In 3.24-3.39
12 Y 0.0841 0.5000 0.5000  4 In 3.24-3.39
13 In 0.0090 0.0000 0.6610  1 In 2.97, 1 Y 3.24, 3 Pr 3.26-3.31
14 In 0.5644 0.8397 0.0000  1 In 2.71, 1 Pr 2.99
15 In 0.5644 0.1603 0.0000  1 In 2.71, 1 Pr 2.99
16 In 0.0090 0.0000 0.3390  1 In 2.97, 1 Y 3.24, 3 Pr 3.26-3.31
17 In 0.9910 0.5000 0.1610  1 In 2.97, 1 Y 3.24, 3 Pr 3.26-3.31
18 In 0.4356 0.6603 0.5000  1 In 2.71, 1 Pr 2.99
19 In 0.4356 0.3397 0.5000  1 In 2.71, 1 Pr 2.99
20 In 0.9910 0.5000 0.8390  1 In 2.97, 1 Y 3.24, 3 Pr 3.26-3.31